Record 1
Here is an optimized crystal structure of Sc3Ga2Ge from Alexandria via LeMat-Bulk. Energies are from PBE.

Values from the calculation:
- crystal system = orthorhombic
- space group = No. 62

a = 3.9155 Å, b = 10.9928 Å, c = 11.2894 Å
α = 90.00°, β = 90.00°, γ = 90.00°
Fractional positions:
Sc  0.2500  0.3805  0.0521
Ga  0.7500  0.1984  0.0028
Sc  0.7500  0.6195  0.9479
Sc  0.2500  0.4431  0.3801
Ga  0.7500  0.0066  0.6861
Ga  0.2500  0.9934  0.3139
Sc  0.7500  0.8805  0.4479
Sc  0.7500  0.5569  0.6199
Sc  0.2500  0.7895  0.7188
Sc  0.2500  0.0569  0.8801
Ge  0.7500  0.6283  0.3710
Ge  0.2500  0.3717  0.6290
Ga  0.2500  0.6984  0.4972
Ga  0.2500  0.5066  0.8139
Sc  0.7500  0.2105  0.2812
Sc  0.7500  0.9431  0.1199
Sc  0.2500  0.1195  0.5521
Ge  0.7500  0.8717  0.8710
Sc  0.2500  0.7105  0.2188
Ga  0.2500  0.8016  0.9972
Ga  0.7500  0.3016  0.5028
Ge  0.2500  0.1283  0.1290
Sc  0.7500  0.2895  0.7812
Ga  0.7500  0.4934  0.1861

=====

Record 2
Here is an optimized crystal structure of LaMgZn from Alexandria via LeMat-Bulk. Energies are from PBE.

Values from the calculation:
- crystal system = cubic
- space group = No. 216

a = 5.1038 Å, b = 5.1038 Å, c = 5.1038 Å
α = 60.00°, β = 60.00°, γ = 60.00°
Fractional positions:
La  0.7500  0.7500  0.7500
Mg  0.0000  0.0000  0.0000
Zn  0.5000  0.5000  0.5000

=====

The formation energy from the elements results, record by record, are as follows: -0.584, 0.335 eV per atom.